1.
! TbHo2Er4 PBE-GGA relaxed; values from VASP
! Magnetization, μB per formula unit: 0.00
! Mass density, Mg/m³: 9.0
! N(E_F), states/eV per cell: 9.36
! Electronic total energy, eV/atom: -4.5716
&SYSTEM
  ibrav = 0, nat = 7, ntyp = 3
/
ATOMIC_SPECIES
Tb 158.93 Tb.upf
Ho 164.93 Ho.upf
Er 167.26 Er.upf
CELL_PARAMETERS angstrom
3.541 0.000 0.000
-1.771 3.067 0.000
0.000 0.000 19.764
ATOMIC_POSITIONS crystal
Tb 0.000 0.000 0.000
Ho 0.000 0.000 0.430
Ho 0.000 0.000 0.715
Er 0.333 0.667 0.287
Er 0.333 0.667 0.572
Er 0.667 0.333 0.144
Er 0.667 0.333 0.857



2.
! SrFeCoP2 PBE-GGA relaxed; values from VASP
! Magnetization, μB per formula unit: 0.00
! Mass density, Mg/m³: 5.3
! N(E_F), states/eV per cell: 2.38
! Electronic total energy, eV/atom: -6.4639
&SYSTEM
  ibrav = 0, nat = 5, ntyp = 4
/
ATOMIC_SPECIES
Sr 87.62 Sr.upf
Fe 55.84 Fe.upf
Co 58.93 Co.upf
P 30.97 P.upf
CELL_PARAMETERS angstrom
-1.877 1.877 5.882
1.877 -1.877 5.882
1.877 1.877 -5.882
ATOMIC_POSITIONS crystal
Sr 0.000 0.000 0.000
Fe 0.750 0.250 0.500
Co 0.250 0.750 0.500
P 0.349 0.349 0.000
P 0.651 0.651 0.000



- Look up the N(E_F) of the first one.
  9.36 states/eV per cell



- What is the electronic total energy in the first record?
  -4.5716 eV/atom